(1)
VASP calculation (PBE with a Hubbard U) on PaFe2MoO8 after structural relaxation.

It has space group I-4m2 (No. 119), with a = 6.780 Å, b = 6.780 Å, c = 6.603 Å, α = 90.00°, β = 90.00° and γ = 90.00°. Symmetry generates all atoms from Pa at (0.000, 0.000, 0.000), Fe at (0.000, 0.000, 0.500), Fe at (0.000, 0.500, 0.250), Mo at (0.000, 0.500, 0.750), O at (0.000, 0.199, 0.693) and O at (0.000, 0.322, 0.032).

The calculated volume comes out at 12.65 A^3/atom. The total energy is -7.35 eV per atom.

=====

(2)
VASP calculation (PBE with a Hubbard U) on Pa2FeMoO8 after structural relaxation.

It has space group I-4 (No. 82), with a = 5.228 Å, b = 5.228 Å, c = 10.683 Å, α = 90.00°, β = 90.00° and γ = 90.00°. Symmetry generates all atoms from Pa at (0.000, 0.000, 0.000), Pa at (0.000, 0.500, 0.250), Fe at (0.000, 0.000, 0.500), Mo at (0.000, 0.500, 0.750), O at (0.221, 0.749, 0.859) and O at (0.234, 0.251, 0.384).

As for the density of states at the Fermi level: 0.000 states/eV per atom. The calculated volume comes out at 12.17 A^3/atom. The total energy is -8.68 eV per atom.

=====

(3)
VASP calculation (PBE with a Hubbard U) on FeMo2PbO8 after structural relaxation.

It has space group P-3m1 (No. 164), with a = 5.9107 Å, b = 5.9107 Å, c = 6.6991 Å, α = 90.00°, β = 90.00° and γ = 120.00°. Symmetry generates all atoms from Fe at (0.0000, 0.0000, 0.0000), Mo at (0.3333, 0.6667, 0.2740), Pb at (0.0000, 0.0000, 0.5000), O at (0.1635, 0.3270, 0.1966) and O at (0.3333, 0.6667, 0.5362).

As for the density of states at the Fermi level: 0.000 states/eV per atom. The calculated volume comes out at 16.89 A^3/atom. The total energy is -6.80 eV per atom.

=====

(4)
VASP calculation (PBE with a Hubbard U) on FeMoPbO6 after structural relaxation.

It has space group P4_2nm (No. 102), with a = 4.788 Å, b = 4.788 Å, c = 9.735 Å, α = 90.00°, β = 90.00° and γ = 90.00°. Symmetry generates all atoms from Fe at (0.000, 0.000, 0.000), Mo at (0.000, 0.000, 0.334), Pb at (0.000, 0.000, 0.666), O at (0.180, 0.180, 0.168), O at (0.201, 0.201, 0.487) and O at (0.209, 0.209, 0.843).

The calculated volume comes out at 12.40 A^3/atom. The total energy is -6.45 eV per atom.